The following is a PBE calculation of a relaxed Mg2GePIr6 crystal, from Alexandria via LeMat-Bulk.

```
data_Mg2GePIr6
_cell_length_a 5.4569
_cell_length_b 8.3390
_cell_length_c 7.9589
_cell_angle_alpha 90.00
_cell_angle_beta 90.00
_cell_angle_gamma 90.00
_symmetry_space_group_name_H-M 'P 1'
_symmetry_Int_Tables_number 1
_symmetry_space_group_name_Hall 'P 1'
loop_
_atom_site_label
_atom_site_type_symbol
_atom_site_fract_x
_atom_site_fract_y
_atom_site_fract_z
_atom_site_occupancy
Mg1 Mg 0.2500 0.0630 0.1134 1
Mg2 Mg 0.2500 0.4370 0.1134 1
Mg3 Mg 0.7500 0.5630 0.8866 1
Mg4 Mg 0.7500 0.9370 0.8866 1
Ge1 Ge 0.2500 0.7500 0.9102 1
Ge2 Ge 0.7500 0.2500 0.0898 1
P1 P 0.2500 0.2500 0.5964 1
P2 P 0.7500 0.7500 0.4036 1
Ir1 Ir 0.0036 0.2500 0.3681 1
Ir2 Ir 0.0216 0.7500 0.1707 1
Ir3 Ir 0.2500 0.5031 0.7334 1
Ir4 Ir 0.2500 0.9969 0.7334 1
Ir5 Ir 0.4784 0.7500 0.1707 1
Ir6 Ir 0.4964 0.2500 0.3681 1
Ir7 Ir 0.5036 0.7500 0.6319 1
Ir8 Ir 0.5216 0.2500 0.8293 1
Ir9 Ir 0.7500 0.0031 0.2666 1
Ir10 Ir 0.7500 0.4969 0.2666 1
Ir11 Ir 0.9784 0.2500 0.8293 1
Ir12 Ir 0.9964 0.7500 0.6319 1
```

Output
ρ: 11.97 Mg/m³
VASP energy: -6.6457 eV per atom
DOS(E_F): 1.012 states/eV/atom
Volume: 362.17 Å³/cell
Formation enthalpy at 0 K: -0.007 eV per atom